Entry 1:
Density functional theory data (PBE) for a relaxed RbCuTeN2 crystal.

Structure (CIF):
```
data_RbCuTeN2
_cell_length_a 4.5440
_cell_length_b 4.5440
_cell_length_c 5.2411
_cell_angle_alpha 90.00
_cell_angle_beta 90.00
_cell_angle_gamma 90.00
_symmetry_space_group_name_H-M 'P 4/m m m'
_symmetry_Int_Tables_number 123
_symmetry_space_group_name_Hall '-P 4 2'
loop_
_atom_site_label
_atom_site_fract_x
_atom_site_fract_y
_atom_site_fract_z
Rb1 0.0000 0.0000 0.0000
Cu1 0.5000 0.5000 0.5000
Te1 0.5000 0.5000 0.0000
N1 0.0000 0.5000 0.5000
```

Energy relative to the lowest polymorph listed for this composition = 0.0 kJ per mole of atoms
Density = 4.67 g cm⁻³
Uncorrected formation energy = 1.455 eV per atom

=====

Entry 2:
Density functional theory data (PBE) for a relaxed NdScAl2S6 crystal.

Structure (CIF):
```
data_NdScAl2S6
_cell_length_a 6.5216
_cell_length_b 6.5216
_cell_length_c 16.6188
_cell_angle_alpha 90.00
_cell_angle_beta 90.00
_cell_angle_gamma 120.00
_symmetry_space_group_name_H-M 'R 3'
_symmetry_Int_Tables_number 146
_symmetry_space_group_name_Hall 'R 3'
loop_
_atom_site_label
_atom_site_fract_x
_atom_site_fract_y
_atom_site_fract_z
Nd1 0.0000 0.0000 0.0000
Sc1 0.0000 0.0000 0.4771
Al1 0.0000 0.0000 0.2706
Al2 0.0000 0.0000 0.7797
S1 0.0111 0.6325 0.5354
S2 0.0145 0.4181 0.0378
```

Density = 3.54 g cm⁻³
Uncorrected formation energy = -1.414 eV per atom

=====

Entry 3:
Density functional theory data (PBE) for a relaxed AcCeMnN4 crystal.

Structure (CIF):
```
data_AcCeMnN4
_cell_length_a 5.7275
_cell_length_b 5.5406
_cell_length_c 7.2059
_cell_angle_alpha 90.00
_cell_angle_beta 108.82
_cell_angle_gamma 90.00
_symmetry_space_group_name_H-M 'P 1 21/m 1'
_symmetry_Int_Tables_number 11
_symmetry_space_group_name_Hall '-P 2yb'
loop_
_atom_site_label
_atom_site_fract_x
_atom_site_fract_y
_atom_site_fract_z
Ac1 0.2078 0.2500 0.4271
Ce1 0.2775 0.2500 0.9566
Mn1 0.2676 0.7500 0.1893
N1 0.0675 0.7500 0.3359
N2 0.0913 0.7500 0.9426
N3 0.4680 0.5051 0.2372
```

Density = 7.34 g cm⁻³
Uncorrected formation energy = -0.948 eV per atom

=====

Entry 4:
Density functional theory data (PBE) for a relaxed CsTlPt2 crystal.

Structure (CIF):
```
data_CsTlPt2
_cell_length_a 7.3258
_cell_length_b 7.3258
_cell_length_c 7.3258
_cell_angle_alpha 90.00
_cell_angle_beta 90.00
_cell_angle_gamma 90.00
_symmetry_space_group_name_H-M 'F m -3 m'
_symmetry_Int_Tables_number 225
_symmetry_space_group_name_Hall '-F 4 2 3'
loop_
_atom_site_label
_atom_site_fract_x
_atom_site_fract_y
_atom_site_fract_z
Cs1 0.0000 0.0000 0.0000
Tl1 0.0000 0.0000 0.5000
Pt1 0.2500 0.2500 0.2500
```

Density = 12.29 g cm⁻³
ΔH_f (0 K) = 0.610 eV/atom